No. 1
# Ca2EuS

Ca2EuS after structural relaxation (PBE, Alexandria).

```
data_Ca2EuS
_space_group_name_H-M_alt 'R -3 m'
_space_group_IT_number 166
_space_group_name_Hall '-R 3 2"'
_cell_length_a 3.8732
_cell_length_b 3.8732
_cell_length_c 31.6002
_cell_angle_alpha 90.00
_cell_angle_beta 90.00
_cell_angle_gamma 120.00
loop_
_atom_site_label
_atom_site_fract_x
_atom_site_fract_y
_atom_site_fract_z
Ca1 0.0000 0.0000 0.1126
Eu1 0.0000 0.0000 0.0000
S1 0.0000 0.0000 0.5000
```

## Properties
Formation energy from raw total energies in meV per atom: -881
Total moment in Bohr magnetons per cell: 21.4



No. 2
# Pm3Ga2C

Pm3Ga2C after structural relaxation (PBE, Alexandria).

```
data_Pm3Ga2C
_space_group_name_H-M_alt 'I m m m'
_space_group_IT_number 71
_space_group_name_Hall '-I 2 2'
_cell_length_a 3.622
_cell_length_b 5.126
_cell_length_c 16.430
_cell_angle_alpha 90.00
_cell_angle_beta 90.00
_cell_angle_gamma 90.00
loop_
_atom_site_label
_atom_site_fract_x
_atom_site_fract_y
_atom_site_fract_z
Pm1 0.000 0.000 0.000
Pm2 0.000 0.500 0.150
Ga1 0.000 0.500 0.339
C1 0.000 0.500 0.000
```

## Properties
Formation energy from the elements in eV/f.u.: 0.34
Energy above the lowest structure with this stoichiometry in eV per atom: 0.387
Total moment in Bohr magnetons per cell: 0.0



No. 3
# Te2Pt3Pb2

Te2Pt3Pb2 after structural relaxation (PBE, Alexandria).

```
data_Te2Pt3Pb2
_space_group_name_H-M_alt 'P 1 21/c 1'
_space_group_IT_number 14
_cell_length_a 6.848
_cell_length_b 7.274
_cell_length_c 7.217
_cell_angle_alpha 90.00
_cell_angle_beta 106.28
_cell_angle_gamma 90.00
loop_
_space_group_symop_operation_xyz
'x,y,z'
'-x,-y,-z'
'-x,y+1/2,-z+1/2'
'x,-y+1/2,z+1/2'
loop_
_atom_site_label
_atom_site_fract_x
_atom_site_fract_y
_atom_site_fract_z
Te1 0.139 0.169 0.393
Pt1 0.230 0.010 0.754
Pt2 0.500 0.000 0.500
Pb1 0.354 0.655 0.617
```

## Properties
Formation energy from raw total energies in meV per atom: -272
Total moment in Bohr magnetons per cell: 0.0



No. 4
# La2ZnW

La2ZnW after structural relaxation (PBE, Alexandria).

```
data_La2ZnW
_space_group_name_H-M_alt 'P 4 m m'
_space_group_IT_number 99
_cell_length_a 3.592
_cell_length_b 3.592
_cell_length_c 8.205
_cell_angle_alpha 90.00
_cell_angle_beta 90.00
_cell_angle_gamma 90.00
loop_
_space_group_symop_operation_xyz
'x,y,z'
'-y,x,z'
'-x,-y,z'
'y,-x,z'
'-x,y,z'
'y,x,z'
'x,-y,z'
'-y,-x,z'
loop_
_atom_site_label
_atom_site_fract_x
_atom_site_fract_y
_atom_site_fract_z
La1 0.000 0.000 0.000
La2 0.500 0.500 0.417
Zn1 0.500 0.500 0.779
W1 0.000 0.000 0.667
```

## Properties
Formation energy from the elements in eV/f.u.: 1.23
Total moment in Bohr magnetons per cell: 0.0



No. 5
# ZnCu2Hg

ZnCu2Hg after structural relaxation (PBE, Alexandria).

```
data_ZnCu2Hg
_space_group_name_H-M_alt 'R 3 m'
_space_group_IT_number 160
_space_group_name_Hall 'R 3 -2"'
_cell_length_a 3.6041
_cell_length_b 3.6041
_cell_length_c 18.4707
_cell_angle_alpha 90.00
_cell_angle_beta 90.00
_cell_angle_gamma 120.00
loop_
_atom_site_label
_atom_site_fract_x
_atom_site_fract_y
_atom_site_fract_z
Zn1 0.0000 0.0000 0.0000
Cu1 0.0000 0.0000 0.5947
Cu2 0.0000 0.0000 0.7392
Hg1 0.0000 0.0000 0.1677
```

## Properties
Formation energy from the elements in eV/f.u.: 0.94
Total moment in Bohr magnetons per cell: 0.0



No. 6
# PrEr2Co

PrEr2Co after structural relaxation (PBE, Alexandria).

```
data_PrEr2Co
_space_group_name_H-M_alt 'R -3 m'
_space_group_IT_number 166
_space_group_name_Hall '-R 3 2"'
_cell_length_a 3.6301
_cell_length_b 3.6301
_cell_length_c 30.8789
_cell_angle_alpha 90.00
_cell_angle_beta 90.00
_cell_angle_gamma 120.00
loop_
_atom_site_label
_atom_site_fract_x
_atom_site_fract_y
_atom_site_fract_z
Pr1 0.0000 0.0000 0.0000
Er1 0.0000 0.0000 0.1163
Co1 0.0000 0.0000 0.5000
```

## Properties
Formation energy from the elements in eV/f.u.: 0.40
Energy above the lowest structure with this stoichiometry in eV per atom: 0.217
Total moment in Bohr magnetons per cell: 0.0



- Look up the total moment of the sixth one.
  0.0 Bohr magnetons per cell



- Among the records above, which one has the highest total moment?
  Ca2EuS